Below is a relaxed structure of Ba3As2H14S8O7, with properties calculated at the PBE level.

Values from the calculation:
E_tot   -4.8823 eV per atom
DOS at the Fermi energy   0.0 states/eV per cell

Geometry as CIF:
```
data_Ba3As2H14S8O7
_cell_length_a 12.772
_cell_length_b 12.874
_cell_length_c 16.800
_cell_angle_alpha 90.00
_cell_angle_beta 130.90
_cell_angle_gamma 90.00
_symmetry_space_group_name_H-M 'P 1 21/c 1'
_symmetry_Int_Tables_number 14
_symmetry_space_group_name_Hall '-P 2ybc'
loop_
_atom_site_label
_atom_site_type_symbol
_atom_site_fract_x
_atom_site_fract_y
_atom_site_fract_z
Ba1 Ba 0.047 0.230 0.171
Ba2 Ba 0.304 0.518 0.207
Ba3 Ba 0.325 0.625 0.760
As1 As 0.043 0.241 0.417
As2 As 0.462 0.748 0.601
H1 H 0.084 0.506 0.910
H2 H 0.094 0.008 0.920
H3 H 0.145 0.032 0.806
H4 H 0.171 0.012 0.322
H5 H 0.189 0.595 0.943
H6 H 0.212 0.562 0.438
H7 H 0.273 0.102 0.856
H8 H 0.298 0.077 0.353
H9 H 0.334 0.108 0.545
H10 H 0.370 0.014 0.112
H11 H 0.371 0.099 0.182
H12 H 0.405 0.503 0.065
H13 H 0.439 0.197 0.091
H14 H 0.448 0.663 0.414
S1 S 0.013 0.116 0.971
S2 S 0.033 0.108 0.495
S3 S 0.130 0.716 0.251
S4 S 0.234 0.241 0.442
S5 S 0.271 0.725 0.075
S6 S 0.358 0.243 0.731
S7 S 0.448 0.596 0.535
S8 S 0.479 0.625 0.022
O1 O 0.111 0.555 0.881
O2 O 0.113 0.543 0.385
O3 O 0.192 0.073 0.788
O4 O 0.210 0.043 0.292
O5 O 0.393 0.053 0.599
O6 O 0.396 0.026 0.181
O7 O 0.460 0.682 0.363
```

***

Below is a relaxed structure of Ba6AsP2H, with properties calculated at the PBE level.

Values from the calculation:
E_tot   -3.8073 eV per atom
DOS at the Fermi energy   8.9 states/eV per cell

Geometry as CIF:
```
data_Ba6AsP2H
_cell_length_a 8.006
_cell_length_b 8.070
_cell_length_c 13.166
_cell_angle_alpha 90.00
_cell_angle_beta 115.55
_cell_angle_gamma 90.00
_symmetry_space_group_name_H-M 'P 1 21/c 1'
_symmetry_Int_Tables_number 14
_symmetry_space_group_name_Hall '-P 2ybc'
loop_
_atom_site_label
_atom_site_type_symbol
_atom_site_fract_x
_atom_site_fract_y
_atom_site_fract_z
Ba1 Ba 0.050 0.103 0.242
Ba2 Ba 0.302 0.681 0.098
Ba3 Ba 0.384 0.199 0.062
As1 As 0.000 0.000 0.000
P1 P 0.341 0.088 0.791
H1 H 0.500 0.000 0.500
```

***

Below is a relaxed structure of Ba4AsPH, with properties calculated at the PBE level.

Values from the calculation:
E_tot   -3.7912 eV per atom
DOS at the Fermi energy   5.8 states/eV per cell

Geometry as CIF:
```
data_Ba4AsPH
_cell_length_a 5.094
_cell_length_b 5.094
_cell_length_c 17.712
_cell_angle_alpha 90.00
_cell_angle_beta 90.00
_cell_angle_gamma 90.00
_symmetry_space_group_name_H-M 'I 4 m m'
_symmetry_Int_Tables_number 107
_symmetry_space_group_name_Hall 'I 4 -2'
loop_
_atom_site_label
_atom_site_type_symbol
_atom_site_fract_x
_atom_site_fract_y
_atom_site_fract_z
Ba1 Ba 0.000 0.000 0.000
Ba2 Ba 0.000 0.000 0.372
Ba3 Ba 0.000 0.500 0.180
As1 As 0.000 0.000 0.815
P1 P 0.000 0.000 0.553
H1 H 0.000 0.000 0.161
```

***

Below is a relaxed structure of Ba6AsP2H3, with properties calculated at the PBE level.

Values from the calculation:
E_tot   -3.8744 eV per atom

Geometry as CIF:
```
data_Ba6AsP2H3
_cell_length_a 8.019
_cell_length_b 13.916
_cell_length_c 7.470
_cell_angle_alpha 90.00
_cell_angle_beta 110.93
_cell_angle_gamma 90.00
_symmetry_space_group_name_H-M 'C 1 2/m 1'
_symmetry_Int_Tables_number 12
_symmetry_space_group_name_Hall '-C 2y'
loop_
_atom_site_label
_atom_site_type_symbol
_atom_site_fract_x
_atom_site_fract_y
_atom_site_fract_z
Ba1 Ba 0.242 0.000 0.250
Ba2 Ba 0.248 0.170 0.752
As1 As 0.000 0.500 0.000
P1 P 0.000 0.166 0.000
H1 H 0.000 0.000 0.500
H2 H 0.000 0.327 0.500
```

***

Below is a relaxed structure of BaAsHPb, with properties calculated at the PBE level.

Values from the calculation:
E_tot   -3.8358 eV per atom
DOS at the Fermi energy   1.4 states/eV per cell

Geometry as CIF:
```
data_BaAsHPb
_cell_length_a 5.1308
_cell_length_b 5.1308
_cell_length_c 10.3340
_cell_angle_alpha 90.00
_cell_angle_beta 90.00
_cell_angle_gamma 120.00
_symmetry_space_group_name_H-M 'P 63 m c'
_symmetry_Int_Tables_number 186
_symmetry_space_group_name_Hall 'P 6c -2c'
loop_
_atom_site_label
_atom_site_type_symbol
_atom_site_fract_x
_atom_site_fract_y
_atom_site_fract_z
Ba1 Ba 0.3333 0.6667 0.0000
As1 As 0.3333 0.6667 0.3150
H1 H 0.0000 0.0000 0.0815
Pb1 Pb 0.0000 0.0000 0.2781
```

***

Below is a relaxed structure of BaAsHPd2, with properties calculated at the PBE level.

Values from the calculation:
E_tot   -4.6940 eV per atom
DOS at the Fermi energy   7.8 states/eV per cell

Geometry as CIF:
```
data_BaAsHPd2
_cell_length_a 4.252
_cell_length_b 11.607
_cell_length_c 7.411
_cell_angle_alpha 90.00
_cell_angle_beta 90.00
_cell_angle_gamma 90.00
_symmetry_space_group_name_H-M 'C m c m'
_symmetry_Int_Tables_number 63
_symmetry_space_group_name_Hall '-C 2c 2'
loop_
_atom_site_label
_atom_site_type_symbol
_atom_site_fract_x
_atom_site_fract_y
_atom_site_fract_z
Ba1 Ba 0.000 0.052 0.250
As1 As 0.000 0.227 0.750
H1 H 0.000 0.500 0.000
Pd1 Pd 0.000 0.332 0.055
```

***

Below is a relaxed structure of Ba2AsHPt, with properties calculated at the PBE level.

Values from the calculation:
E_tot   -4.3003 eV per atom
DOS at the Fermi energy   1.6 states/eV per cell

Geometry as CIF:
```
data_Ba2AsHPt
_cell_length_a 5.824
_cell_length_b 5.824
_cell_length_c 3.720
_cell_angle_alpha 90.00
_cell_angle_beta 90.00
_cell_angle_gamma 90.00
_symmetry_space_group_name_H-M 'P 4/m m m'
_symmetry_Int_Tables_number 123
_symmetry_space_group_name_Hall '-P 4 2'
loop_
_atom_site_label
_atom_site_type_symbol
_atom_site_fract_x
_atom_site_fract_y
_atom_site_fract_z
Ba1 Ba 0.000 0.500 0.000
As1 As 0.000 0.000 0.500
H1 H 0.500 0.500 0.000
Pt1 Pt 0.500 0.500 0.500
```

***

Below is a relaxed structure of Ba2As2H4Pt, with properties calculated at the PBE level.

Values from the calculation:
E_tot   -4.0866 eV per atom
DOS at the Fermi energy   10.4 states/eV per cell

Geometry as CIF:
```
data_Ba2As2H4Pt
_cell_length_a 6.411
_cell_length_b 6.411
_cell_length_c 8.075
_cell_angle_alpha 90.00
_cell_angle_beta 90.00
_cell_angle_gamma 90.00
_symmetry_space_group_name_H-M 'I 4/m m m'
_symmetry_Int_Tables_number 139
_symmetry_space_group_name_Hall '-I 4 2'
loop_
_atom_site_label
_atom_site_type_symbol
_atom_site_fract_x
_atom_site_fract_y
_atom_site_fract_z
Ba1 Ba 0.000 0.500 0.250
As1 As 0.000 0.000 0.154
H1 H 0.184 0.184 0.500
Pt1 Pt 0.000 0.000 0.500
```

***

Below is a relaxed structure of Rb2BaAsH, with properties calculated at the PBE level.

Values from the calculation:
E_tot   -2.7582 eV per atom

Geometry as CIF:
```
data_Rb2BaAsH
_cell_length_a 5.232
_cell_length_b 5.232
_cell_length_c 5.803
_cell_angle_alpha 90.00
_cell_angle_beta 90.00
_cell_angle_gamma 90.00
_symmetry_space_group_name_H-M 'P 4/m m m'
_symmetry_Int_Tables_number 123
_symmetry_space_group_name_Hall '-P 4 2'
loop_
_atom_site_label
_atom_site_type_symbol
_atom_site_fract_x
_atom_site_fract_y
_atom_site_fract_z
Rb1 Rb 0.000 0.500 0.000
Ba1 Ba 0.000 0.000 0.500
As1 As 0.500 0.500 0.500
H1 H 0.000 0.000 0.000
```

***

Below is a relaxed structure of Ba2AsHRh, with properties calculated at the PBE level.

Values from the calculation:
E_tot   -4.3284 eV per atom
DOS at the Fermi energy   4.1 states/eV per cell

Geometry as CIF:
```
data_Ba2AsHRh
_cell_length_a 5.854
_cell_length_b 5.854
_cell_length_c 3.566
_cell_angle_alpha 90.00
_cell_angle_beta 90.00
_cell_angle_gamma 90.00
_symmetry_space_group_name_H-M 'P 4/m m m'
_symmetry_Int_Tables_number 123
_symmetry_space_group_name_Hall '-P 4 2'
loop_
_atom_site_label
_atom_site_type_symbol
_atom_site_fract_x
_atom_site_fract_y
_atom_site_fract_z
Ba1 Ba 0.000 0.500 0.000
As1 As 0.000 0.000 0.500
H1 H 0.500 0.500 0.000
Rh1 Rh 0.500 0.500 0.500
```

***

Below is a relaxed structure of Ba2As2HRh2, with properties calculated at the PBE level.

Values from the calculation:
E_tot   -5.1858 eV per atom
DOS at the Fermi energy   6.7 states/eV per cell

Geometry as CIF:
```
data_Ba2As2HRh2
_cell_length_a 11.742
_cell_length_b 4.304
_cell_length_c 7.623
_cell_angle_alpha 90.00
_cell_angle_beta 125.50
_cell_angle_gamma 90.00
_symmetry_space_group_name_H-M 'C 1 2/m 1'
_symmetry_Int_Tables_number 12
_symmetry_space_group_name_Hall '-C 2y'
loop_
_atom_site_label
_atom_site_type_symbol
_atom_site_fract_x
_atom_site_fract_y
_atom_site_fract_z
Ba1 Ba 0.050 0.000 0.305
As1 As 0.202 0.500 0.756
H1 H 0.000 0.500 0.000
Rh1 Rh 0.193 0.500 0.068
```

***

Below is a relaxed structure of BaAsHRh, with properties calculated at the PBE level.

Values from the calculation:
E_tot   -5.0373 eV per atom
DOS at the Fermi energy   6.4 states/eV per cell

Geometry as CIF:
```
data_BaAsHRh
_cell_length_a 4.219
_cell_length_b 4.219
_cell_length_c 9.308
_cell_angle_alpha 90.00
_cell_angle_beta 90.00
_cell_angle_gamma 90.00
_symmetry_space_group_name_H-M 'P 4/n m m'
_symmetry_Int_Tables_number 129
loop_
_symmetry_equiv_pos_as_xyz
'x,y,z'
'-x,-y,-z'
'-y+1/2,x,z'
'y+1/2,-x,-z'
'-x+1/2,-y+1/2,z'
'x+1/2,y+1/2,-z'
'y,-x+1/2,z'
'-y,x+1/2,-z'
'x+1/2,-y,-z'
'-x+1/2,y,z'
'-y,-x,-z'
'y,x,z'
'-x,y+1/2,-z'
'x,-y+1/2,z'
'y+1/2,x+1/2,-z'
'-y+1/2,-x+1/2,z'
loop_
_atom_site_label
_atom_site_type_symbol
_atom_site_fract_x
_atom_site_fract_y
_atom_site_fract_z
Ba1 Ba 0.250 0.250 0.167
As1 As 0.250 0.250 0.641
H1 H 0.250 0.750 0.000
Rh1 Rh 0.250 0.750 0.500
```

***

Below is a relaxed structure of BaAsH2S4, with properties calculated at the PBE level.

Values from the calculation:
E_tot   -4.2277 eV per atom
DOS at the Fermi energy   8.6 states/eV per cell

Geometry as CIF:
```
data_BaAsH2S4
_cell_length_a 5.490
_cell_length_b 7.620
_cell_length_c 8.180
_cell_angle_alpha 90.00
_cell_angle_beta 90.00
_cell_angle_gamma 90.00
_symmetry_space_group_name_H-M 'I 2 2 2'
_symmetry_Int_Tables_number 23
_symmetry_space_group_name_Hall 'I 2 2'
loop_
_atom_site_label
_atom_site_type_symbol
_atom_site_fract_x
_atom_site_fract_y
_atom_site_fract_z
Ba1 Ba 0.000 0.000 0.000
As1 As 0.000 0.000 0.500
H1 H 0.000 0.500 0.156
S1 S 0.224 0.353 0.826
```

***

Below is a relaxed structure of BaSbAsH2, with properties calculated at the PBE level.

Values from the calculation:
E_tot   -3.0930 eV per atom
DOS at the Fermi energy   3.9 states/eV per cell

Geometry as CIF:
```
data_BaSbAsH2
_cell_length_a 4.384
_cell_length_b 4.384
_cell_length_c 7.288
_cell_angle_alpha 90.00
_cell_angle_beta 90.00
_cell_angle_gamma 90.00
_symmetry_space_group_name_H-M 'P 4/m m m'
_symmetry_Int_Tables_number 123
_symmetry_space_group_name_Hall '-P 4 2'
loop_
_atom_site_label
_atom_site_type_symbol
_atom_site_fract_x
_atom_site_fract_y
_atom_site_fract_z
Ba1 Ba 0.000 0.000 0.000
Sb1 Sb 0.000 0.000 0.500
As1 As 0.500 0.500 0.500
H1 H 0.000 0.500 0.000
```

***

Below is a relaxed structure of Ba4SbAsH, with properties calculated at the PBE level.

Values from the calculation:
E_tot   -3.6686 eV per atom
DOS at the Fermi energy   6.5 states/eV per cell

Geometry as CIF:
```
data_Ba4SbAsH
_cell_length_a 5.195
_cell_length_b 5.195
_cell_length_c 18.529
_cell_angle_alpha 90.00
_cell_angle_beta 90.00
_cell_angle_gamma 90.00
_symmetry_space_group_name_H-M 'I 4 m m'
_symmetry_Int_Tables_number 107
_symmetry_space_group_name_Hall 'I 4 -2'
loop_
_atom_site_label
_atom_site_type_symbol
_atom_site_fract_x
_atom_site_fract_y
_atom_site_fract_z
Ba1 Ba 0.000 0.000 0.000
Ba2 Ba 0.000 0.000 0.366
Ba3 Ba 0.000 0.500 0.173
Sb1 Sb 0.000 0.000 0.812
As1 As 0.000 0.000 0.548
H1 H 0.000 0.000 0.150
```

***

Below is a relaxed structure of BaAsH2Se4, with properties calculated at the PBE level.

Values from the calculation:
E_tot   -3.8787 eV per atom
DOS at the Fermi energy   7.5 states/eV per cell

Geometry as CIF:
```
data_BaAsH2Se4
_cell_length_a 5.764
_cell_length_b 7.978
_cell_length_c 8.453
_cell_angle_alpha 90.00
_cell_angle_beta 90.00
_cell_angle_gamma 90.00
_symmetry_space_group_name_H-M 'I 2 2 2'
_symmetry_Int_Tables_number 23
_symmetry_space_group_name_Hall 'I 2 2'
loop_
_atom_site_label
_atom_site_type_symbol
_atom_site_fract_x
_atom_site_fract_y
_atom_site_fract_z
Ba1 Ba 0.000 0.000 0.000
As1 As 0.000 0.000 0.500
H1 H 0.000 0.500 0.160
Se1 Se 0.224 0.345 0.821
```

***

Below is a relaxed structure of BaAs2HSe, with properties calculated at the PBE level.

Values from the calculation:
Energy above the most stable polymorph in this dataset   0.0 kJ/mol of atoms
DOS at the Fermi energy   4.3 states/eV per cell

Geometry as CIF:
```
data_BaAs2HSe
_cell_length_a 4.375
_cell_length_b 4.375
_cell_length_c 5.879
_cell_angle_alpha 90.00
_cell_angle_beta 90.00
_cell_angle_gamma 90.00
_symmetry_space_group_name_H-M 'P 4/m m m'
_symmetry_Int_Tables_number 123
_symmetry_space_group_name_Hall '-P 4 2'
loop_
_atom_site_label
_atom_site_type_symbol
_atom_site_fract_x
_atom_site_fract_y
_atom_site_fract_z
Ba1 Ba 0.000 0.000 0.000
As1 As 0.000 0.500 0.500
H1 H 0.500 0.500 0.500
Se1 Se 0.500 0.500 0.000
```

***

Below is a relaxed structure of BaAs2HSe, with properties calculated at the PBE level.

Values from the calculation:
Energy above the most stable polymorph in this dataset   119.6 kJ/mol of atoms
DOS at the Fermi energy   6.8 states/eV per cell

Geometry as CIF:
```
data_BaAs2HSe
_cell_length_a 6.756
_cell_length_b 6.756
_cell_length_c 6.236
_cell_angle_alpha 90.00
_cell_angle_beta 90.00
_cell_angle_gamma 90.00
_symmetry_space_group_name_H-M 'P 4/m m m'
_symmetry_Int_Tables_number 123
_symmetry_space_group_name_Hall '-P 4 2'
loop_
_atom_site_label
_atom_site_type_symbol
_atom_site_fract_x
_atom_site_fract_y
_atom_site_fract_z
Ba1 Ba 0.000 0.000 0.000
As1 As 0.000 0.500 0.000
H1 H 0.500 0.500 0.500
Se1 Se 0.000 0.000 0.500
```

***

Number 1: V 2087.82 Å³/cell. Number 2: V 767.47 Å³/cell. Number 3: V 459.57 Å³/cell. Number 4: V 778.66 Å³/cell. Number 5: V 235.60 Å³/cell. Number 6: V 365.73 Å³/cell. Number 7: V 126.15 Å³/cell. Number 8: V 331.87 Å³/cell. Number 9: V 158.87 Å³/cell. Number 10: V 122.21 Å³/cell. Number 11: V 313.63 Å³/cell. Number 12: V 165.67 Å³/cell. Number 13: V 342.19 Å³/cell. Number 14: V 140.08 Å³/cell. Number 15: V 500.00 Å³/cell. Number 16: V 388.75 Å³/cell. Number 17: V 112.54 Å³/cell. Number 18: V 284.68 Å³/cell.